DFT (SCAN) results for a crystal of NpB4 relaxed with PBEsol.

```
NpB4
1.0
3.933 0.000 0.000
0.000 7.001 0.000
0.000 0.000 7.001
Np B
4 16
Direct
0.000 0.810 0.310 Np
0.000 0.190 0.690 Np
0.000 0.310 0.190 Np
0.000 0.690 0.810 Np
0.799 0.500 0.500 B
0.799 0.000 0.000 B
0.201 0.500 0.500 B
0.201 0.000 0.000 B
0.500 0.413 0.913 B
0.500 0.587 0.087 B
0.500 0.913 0.587 B
0.500 0.087 0.413 B
0.500 0.679 0.539 B
0.500 0.321 0.461 B
0.500 0.179 0.961 B
0.500 0.821 0.039 B
0.500 0.461 0.679 B
0.500 0.539 0.321 B
0.500 0.039 0.179 B
0.500 0.961 0.821 B
```

## Properties
DFT total energy ... -27.682 eV/atom
DFT formation energy ... -0.34 eV/atom
Space group ... P4/mbm
Volume ... 9.637 A^3/atom